# 1
The following is a DFT calculation (GGA-PBE) of crystalline TeMoSe2N at its relaxed geometry. Values from VASP.

Geometry as Quantum ESPRESSO input:
```
&SYSTEM
  ibrav = 0, nat = 5, ntyp = 4
/
ATOMIC_SPECIES
Mo 95.94 Mo.upf
Te 127.60 Te.upf
Se 78.96 Se.upf
N 14.01 N.upf
CELL_PARAMETERS angstrom
-4.5377 0.4381 2.3782
-1.0946 -4.8811 -1.1895
1.6033 -1.1570 3.2723
ATOMIC_POSITIONS crystal
Mo 0.0000 0.0000 0.0000
Te 0.5000 0.5000 0.5000
Se 0.0000 0.5000 0.0000
Se 0.5000 0.0000 0.0000
N 0.0000 0.0000 0.5000
```

Output
E_tot = -5.61 eV per atom
ρ = 6.50 g/cm3
Space-group type = P4/mmm, No. 123
Energy relative to the elements, uncorrected = 0.241 eV per atom
Crystal system = tetragonal
Energy relative to the lowest polymorph listed for this composition = 0.0 meV per atom

***

# 2
The following is a DFT calculation (GGA-PBE) of crystalline TiMoSeN2 at its relaxed geometry. Values from VASP.

Geometry as Quantum ESPRESSO input:
```
&SYSTEM
  ibrav = 0, nat = 5, ntyp = 4
/
ATOMIC_SPECIES
Mo 95.94 Mo.upf
N 14.01 N.upf
Se 78.96 Se.upf
Ti 47.87 Ti.upf
CELL_PARAMETERS angstrom
-1.7861 -3.2939 -1.0650
3.3651 -1.9333 0.3358
-1.0759 -1.0143 4.9415
ATOMIC_POSITIONS crystal
Mo 0.5000 0.5000 0.5000
N 0.0000 0.5000 0.0000
N 0.5000 0.0000 0.0000
Se 0.0000 0.0000 0.5000
Ti 0.0000 0.0000 0.0000
```

Output
E_tot = -7.20 eV per atom
ρ = 5.32 g/cm3
Space-group type = P4/mmm, No. 123
Energy relative to the elements, uncorrected = 0.572 eV per atom
Crystal system = tetragonal
Energy relative to the lowest polymorph listed for this composition = 275.2 meV per atom

***

# 3
The following is a DFT calculation (GGA-PBE) of crystalline TiMoSeN2 at its relaxed geometry. Values from VASP.

Geometry as Quantum ESPRESSO input:
```
&SYSTEM
  ibrav = 0, nat = 5, ntyp = 4
/
ATOMIC_SPECIES
Mo 95.94 Mo.upf
N 14.01 N.upf
Se 78.96 Se.upf
Ti 47.87 Ti.upf
CELL_PARAMETERS angstrom
3.8856 0.0000 0.0000
0.0000 3.8856 0.0000
0.0000 0.0000 5.1817
ATOMIC_POSITIONS crystal
Mo 0.0000 0.0000 0.0000
N 0.0000 0.5000 0.0000
N 0.5000 0.0000 0.0000
Se 0.0000 0.0000 0.5000
Ti 0.5000 0.5000 0.5000
```

Output
E_tot = -7.48 eV per atom
ρ = 5.32 g/cm3
Space-group type = P4/mmm, No. 123
Energy relative to the elements, uncorrected = 0.297 eV per atom
Crystal system = tetragonal
Energy relative to the lowest polymorph listed for this composition = 0.0 meV per atom

***

# 4
The following is a DFT calculation (GGA-PBE) of crystalline TlMoSe2N at its relaxed geometry. Values from VASP.

Geometry as Quantum ESPRESSO input:
```
&SYSTEM
  ibrav = 0, nat = 5, ntyp = 4
/
ATOMIC_SPECIES
Tl 204.38 Tl.upf
Mo 95.94 Mo.upf
Se 78.96 Se.upf
N 14.01 N.upf
CELL_PARAMETERS angstrom
-2.6754 -3.7358 -2.9749
3.2543 -3.9219 1.9983
-2.6468 -0.5997 3.1334
ATOMIC_POSITIONS crystal
Tl 0.0000 0.0000 0.0000
Mo 0.5000 0.5000 0.5000
Se 0.0000 0.5000 0.0000
Se 0.5000 0.0000 0.0000
N 0.0000 0.0000 0.5000
```

Output
E_tot = -4.05 eV per atom
ρ = 6.31 g/cm3
Space-group type = P4/mmm, No. 123
Energy relative to the elements, uncorrected = 1.646 eV per atom
Crystal system = tetragonal
Energy relative to the lowest polymorph listed for this composition = 1644.8 meV per atom

***

# 5
The following is a DFT calculation (GGA-PBE) of crystalline TlMoSeN2 at its relaxed geometry. Values from VASP.

Geometry as Quantum ESPRESSO input:
```
&SYSTEM
  ibrav = 0, nat = 5, ntyp = 4
/
ATOMIC_SPECIES
Tl 204.38 Tl.upf
Mo 95.94 Mo.upf
Se 78.96 Se.upf
N 14.01 N.upf
CELL_PARAMETERS angstrom
-0.7566 -2.2490 3.2210
-0.9190 -3.0879 -2.3719
5.1067 -1.5891 0.0901
ATOMIC_POSITIONS crystal
Tl 0.5000 0.5000 0.5000
Mo 0.0000 0.0000 0.0000
Se 0.0000 0.0000 0.5000
N 0.0000 0.5000 0.0000
N 0.5000 0.0000 0.0000
```

Output
E_tot = -6.32 eV per atom
ρ = 7.90 g/cm3
Space-group type = P4/mmm, No. 123
Energy relative to the elements, uncorrected = 0.350 eV per atom
Crystal system = tetragonal
Energy relative to the lowest polymorph listed for this composition = 0.0 meV per atom

***

# 6
The following is a DFT calculation (GGA-PBE) of crystalline TlMoSeN2 at its relaxed geometry. Values from VASP.

Geometry as Quantum ESPRESSO input:
```
&SYSTEM
  ibrav = 0, nat = 5, ntyp = 4
/
ATOMIC_SPECIES
Tl 204.38 Tl.upf
Mo 95.94 Mo.upf
Se 78.96 Se.upf
N 14.01 N.upf
CELL_PARAMETERS angstrom
4.1887 0.0000 0.0000
0.0000 4.1887 0.0000
0.0000 0.0000 5.9108
ATOMIC_POSITIONS crystal
Tl 0.0000 0.0000 0.0000
Mo 0.5000 0.5000 0.5000
Se 0.0000 0.0000 0.5000
N 0.0000 0.5000 0.0000
N 0.5000 0.0000 0.0000
```

Output
E_tot = -4.45 eV per atom
ρ = 6.52 g/cm3
Space-group type = P4/mmm, No. 123
Energy relative to the elements, uncorrected = 2.219 eV per atom
Crystal system = tetragonal
Energy relative to the lowest polymorph listed for this composition = 1869.1 meV per atom

***

# 7
The following is a DFT calculation (GGA-PBE) of crystalline TlMoSe2N at its relaxed geometry. Values from VASP.

Geometry as Quantum ESPRESSO input:
```
&SYSTEM
  ibrav = 0, nat = 5, ntyp = 4
/
ATOMIC_SPECIES
Tl 204.38 Tl.upf
Mo 95.94 Mo.upf
Se 78.96 Se.upf
N 14.01 N.upf
CELL_PARAMETERS angstrom
-3.7040 0.6074 3.6088
3.5153 -0.8368 3.7489
0.7507 3.7660 0.1366
ATOMIC_POSITIONS crystal
Tl 0.5000 0.5000 0.5000
Mo 0.0000 0.0000 0.0000
Se 0.0000 0.5000 0.0000
Se 0.5000 0.0000 0.0000
N 0.0000 0.0000 0.5000
```

Output
E_tot = -5.70 eV per atom
ρ = 7.53 g/cm3
Space-group type = P4/mmm, No. 123
Energy relative to the elements, uncorrected = 0.002 eV per atom
Crystal system = tetragonal
Energy relative to the lowest polymorph listed for this composition = 0.0 meV per atom

***

# 8
The following is a DFT calculation (GGA-PBE) of crystalline VMoSeN2 at its relaxed geometry. Values from VASP.

Geometry as Quantum ESPRESSO input:
```
&SYSTEM
  ibrav = 0, nat = 5, ntyp = 4
/
ATOMIC_SPECIES
Mo 95.94 Mo.upf
N 14.01 N.upf
Se 78.96 Se.upf
V 50.94 V.upf
CELL_PARAMETERS angstrom
3.7829 0.0000 0.0000
0.0000 3.7829 0.0000
0.0000 0.0000 5.1326
ATOMIC_POSITIONS crystal
Mo 0.5000 0.5000 0.5000
N 0.0000 0.5000 0.0000
N 0.5000 0.0000 0.0000
Se 0.0000 0.0000 0.5000
V 0.0000 0.0000 0.0000
```

Output
E_tot = -7.39 eV per atom
ρ = 5.74 g/cm3
Space-group type = P4/mmm, No. 123
Energy relative to the elements, uncorrected = 0.632 eV per atom
Crystal system = tetragonal
Energy relative to the lowest polymorph listed for this composition = 0.0 meV per atom

***

# 9
The following is a DFT calculation (GGA-PBE) of crystalline VMoSeN2 at its relaxed geometry. Values from VASP.

Geometry as Quantum ESPRESSO input:
```
&SYSTEM
  ibrav = 0, nat = 5, ntyp = 4
/
ATOMIC_SPECIES
Mo 95.94 Mo.upf
N 14.01 N.upf
Se 78.96 Se.upf
V 50.94 V.upf
CELL_PARAMETERS angstrom
3.8773 0.0000 0.0000
0.0000 3.8773 0.0000
0.0000 0.0000 5.2575
ATOMIC_POSITIONS crystal
Mo 0.0000 0.0000 0.0000
N 0.0000 0.5000 0.0000
N 0.5000 0.0000 0.0000
Se 0.0000 0.0000 0.5000
V 0.5000 0.5000 0.5000
```

Output
E_tot = -7.35 eV per atom
ρ = 5.33 g/cm3
Space-group type = P4/mmm, No. 123
Energy relative to the elements, uncorrected = 0.663 eV per atom
Crystal system = tetragonal
Energy relative to the lowest polymorph listed for this composition = 31.4 meV per atom

***

# 10
The following is a DFT calculation (GGA-PBE) of crystalline MoWSe2N at its relaxed geometry. Values from VASP.

Geometry as Quantum ESPRESSO input:
```
&SYSTEM
  ibrav = 0, nat = 5, ntyp = 4
/
ATOMIC_SPECIES
Mo 95.94 Mo.upf
Se 78.96 Se.upf
W 183.84 W.upf
N 14.01 N.upf
CELL_PARAMETERS angstrom
-0.3746 -3.9303 -3.1652
0.1202 -3.1799 3.9344
-3.7224 0.1594 0.2426
ATOMIC_POSITIONS crystal
Mo 0.0000 0.0000 0.0000
Se 0.0000 0.5000 0.0000
Se 0.5000 0.0000 0.0000
W 0.5000 0.5000 0.5000
N 0.0000 0.0000 0.5000
```

Output
E_tot = -6.87 eV per atom
ρ = 7.85 g/cm3
Space-group type = P4/mmm, No. 123
Energy relative to the elements, uncorrected = 0.947 eV per atom
Crystal system = tetragonal
Energy relative to the lowest polymorph listed for this composition = 283.3 meV per atom

***

# 11
The following is a DFT calculation (GGA-PBE) of crystalline MoWSe2N at its relaxed geometry. Values from VASP.

Geometry as Quantum ESPRESSO input:
```
&SYSTEM
  ibrav = 0, nat = 5, ntyp = 4
/
ATOMIC_SPECIES
Mo 95.94 Mo.upf
Se 78.96 Se.upf
W 183.84 W.upf
N 14.01 N.upf
CELL_PARAMETERS angstrom
5.0737 0.0000 0.0000
0.0000 5.0737 0.0000
0.0000 0.0000 3.7965
ATOMIC_POSITIONS crystal
Mo 0.5000 0.5000 0.5000
Se 0.0000 0.5000 0.0000
Se 0.5000 0.0000 0.0000
W 0.0000 0.0000 0.0000
N 0.0000 0.0000 0.5000
```

Output
E_tot = -7.15 eV per atom
ρ = 7.67 g/cm3
Space-group type = P4/mmm, No. 123
Energy relative to the elements, uncorrected = 0.664 eV per atom
Crystal system = tetragonal
Energy relative to the lowest polymorph listed for this composition = 0.0 meV per atom

***

# 12
The following is a DFT calculation (GGA-PBE) of crystalline Y2MoSeN at its relaxed geometry. Values from VASP.

Geometry as Quantum ESPRESSO input:
```
&SYSTEM
  ibrav = 0, nat = 5, ntyp = 4
/
ATOMIC_SPECIES
Y 88.91 Y.upf
Mo 95.94 Mo.upf
Se 78.96 Se.upf
N 14.01 N.upf
CELL_PARAMETERS angstrom
5.3434 0.0000 0.0000
0.0000 4.5006 0.0000
0.0000 0.0000 5.3434
ATOMIC_POSITIONS crystal
Y 0.0000 0.0000 0.5000
Y 0.5000 0.0000 0.0000
Mo 0.0000 0.5000 0.0000
Se 0.0000 0.0000 0.0000
N 0.5000 0.5000 0.5000
```

Output
E_tot = -6.17 eV per atom
ρ = 4.74 g/cm3
Space-group type = P4/mmm, No. 123
Energy relative to the elements, uncorrected = 0.941 eV per atom
Crystal system = tetragonal